VASP calculation (PBE-GGA) on a relaxed structure of K3V.

- DOS(E_F) (states/eV per cell) = 9.6
- VASP energy (eV per cell) = -8.916

Cell: 6.7516 6.7516 6.7516 Å, 126.67 126.67 78.78°
With the nearest neighbours (Å) after each atom.
Sites, in units of the cell vectors:
1 K 0.0000 0.0000 0.0000  8 K 4.00, 4 V 4.28
2 K 0.2500 0.7500 0.5000  8 K 4.00-4.28, 4 V 4.00
3 K 0.7500 0.2500 0.5000  8 K 4.00-4.28, 4 V 4.00
4 V 0.5000 0.5000 0.0000  12 K 4.00-4.28